A relaxed RbPuGaO6 crystal. Source: the Alexandria database, functional PBE.

POSCAR file:
```
RbPuGaO6
1.0
5.3255 0.0000 0.0000
2.6628 4.6120 0.0001
0.0001 -0.0002 6.4427
O Pu Rb Ga
6 1 1 1
Direct
0.9960 0.3842 0.3261 O
0.6197 0.9960 0.3261 O
0.3842 0.6197 0.3261 O
0.6197 0.3842 0.6738 O
0.3842 0.9960 0.6738 O
0.9960 0.6198 0.6738 O
0.6666 0.6667 0.5000 Pu
0.0000 0.0000 0.0000 Rb
0.3333 0.3333 0.5000 Ga
```

Results
Its formation energy (no corrections) is -1.843 eV per atom. Its magnetic moment is 0.0 μB per cell. As for the symmetry: P312 (149).